Entry from the Alexandria database: crystalline CaMgCoHNF at its relaxed geometry (PBE with a Hubbard U).

Uncorrected energy in eV/cell: -28.75
SG: Pm (6)
D(E_F) in states/eV/f.u.: 0.56

Cell and atoms, written as POSCAR:
```
CaMgCoHNF
1.0
3.354 0.000 0.000
0.000 3.871 0.000
-1.570 0.000 6.732
Ca Mg Co H N F
1 1 1 1 1 1
Direct
0.000 0.000 0.000 Ca
0.761 0.000 0.536 Mg
0.345 0.500 0.746 Co
0.360 0.500 0.994 H
0.344 0.000 0.708 N
0.635 0.000 0.252 F
```